Computed, not measured: LiNi2Br at its PBEsol-relaxed geometry at the SCAN level of DFT.

Unit cell a=4.1887 b=4.1887 c=4.1887 alpha=60.00 beta=60.00 gamma=60.00
Closest atoms and distances in Å follow each position.
Fractional positions:
Li 0.0000 0.0000 0.0000  4 Br 2.57, 4 Ni 2.57
Ni 0.5000 0.5000 0.5000  4 Ni 2.57, 4 Br 2.57
Ni 0.7500 0.7500 0.7500  4 Ni 2.57, 4 Li 2.57
Br 0.2500 0.2500 0.2500  4 Ni 2.57, 4 Li 2.57

Calculated values
For the density, the calculation gives 6.53 g/cm³. For the raw formation energy, the calculation gives 0.451 eV/atom. As for the space group: No. 216.

Computed, not measured: ScMo at its PBEsol-relaxed geometry at the SCAN level of DFT.

Unit cell a=2.8969 b=2.8969 c=9.4542 alpha=90.00 beta=90.00 gamma=112.21
Closest atoms and distances in Å follow each position.
Fractional positions:
Sc 0.2500 0.7500 0.8463  2 Mo 2.80, 4 Sc 2.90
Sc 0.7500 0.2500 0.1537  2 Mo 2.80, 4 Sc 2.90
Mo 0.2500 0.7500 0.3957  2 Mo 2.55, 2 Sc 2.80
Mo 0.7500 0.2500 0.6043  2 Mo 2.55, 2 Sc 2.80

Calculated values
The formation enthalpy at 0 K comes out at 0.17 eV per atom. For the density, the calculation gives 6.37 g/cm³. As for the space group: No. 67.

Computed, not measured: Mn2F7 at its PBEsol-relaxed geometry at the SCAN level of DFT.

Unit cell a=5.1748 b=6.1381 c=8.6004 alpha=72.10 beta=76.17 gamma=84.05
Closest atoms and distances in Å follow each position.
Fractional positions:
Mn 0.2159 0.4621 0.3297  3 F 1.71-1.91
Mn 0.2790 0.2976 0.8085  4 F 1.71-1.89
Mn 0.7210 0.7024 0.1915  4 F 1.71-1.89
Mn 0.7841 0.5379 0.6703  3 F 1.71-1.91
F 0.0584 0.6024 0.1218  1 Mn 1.81
F 0.1131 0.1913 0.3644  1 Mn 1.71
F 0.1650 0.4131 0.5927  3 Mn 1.98-2.14
F 0.1917 0.0279 0.8259  1 Mn 1.71
F 0.3620 0.2329 0.9997  1 Mn 1.72
F 0.3644 0.7473 0.3008  2 Mn 1.89-1.91
F 0.4170 0.6010 0.7474  2 Mn 1.90-1.94
F 0.5830 0.3990 0.2526  2 Mn 1.90-1.94
F 0.6356 0.2527 0.6992  2 Mn 1.89-1.91
F 0.6380 0.7671 0.0003  1 Mn 1.72
F 0.8083 0.9721 0.1741  1 Mn 1.71
F 0.8350 0.5869 0.4073  3 Mn 1.98-2.14
F 0.8869 0.8087 0.6357  1 Mn 1.71
F 0.9416 0.3976 0.8782  1 Mn 1.81

Calculated values
For the density, the calculation gives 3.20 g/cm³. For the raw formation energy, the calculation gives -2.591 eV/atom. As for the space group: No. 2.

Computed, not measured: MgSc2Cl at its PBEsol-relaxed geometry at the SCAN level of DFT.

Unit cell a=10.2734 b=10.2734 c=10.2734 alpha=17.73 beta=17.73 gamma=17.73
Closest atoms and distances in Å follow each position.
Fractional positions:
Mg 0.0000 0.0000 0.0000  2 Sc 3.05, 6 Mg 3.17
Sc 0.1006 0.1006 0.1006  3 Cl 2.71
Sc 0.8994 0.8994 0.8994  3 Cl 2.71
Cl 0.5000 0.5000 0.5000  6 Sc 2.71

Calculated values
For the density, the calculation gives 2.83 g/cm³. For the raw formation energy, the calculation gives -0.387 eV/atom. As for the space group: No. 166.

Computed, not measured: SiPb2S4 at its PBEsol-relaxed geometry at the SCAN level of DFT.

Unit cell a=6.4709 b=6.6136 c=16.4467 alpha=90.00 beta=108.24 gamma=90.00
Closest atoms and distances in Å follow each position.
Fractional positions:
Si 0.2114 0.2447 0.3973  4 S 2.12-2.13
Si 0.2114 0.2553 0.8973  4 S 2.12-2.13
Si 0.7886 0.7447 0.1027  4 S 2.12-2.13
Si 0.7886 0.7553 0.6027  4 S 2.12-2.13
Pb 0.2355 0.7200 0.5231  6 S 2.84-3.15
Pb 0.2355 0.7800 0.0231  6 S 2.84-3.15
Pb 0.2638 0.6936 0.7883  4 S 2.79-3.11
Pb 0.2638 0.8064 0.2883  4 S 2.79-3.11
Pb 0.7362 0.1936 0.7117  4 S 2.79-3.11
Pb 0.7362 0.3064 0.2117  4 S 2.79-3.11
Pb 0.7645 0.2200 0.9769  6 S 2.84-3.15
Pb 0.7645 0.2800 0.4769  6 S 2.84-3.15
S 0.0002 0.0079 0.6281  1 Si 2.12
S 0.0002 0.4921 0.1281  1 Si 2.12
S 0.9998 0.5079 0.8719  1 Si 2.12
S 0.9998 0.9921 0.3719  1 Si 2.12
S 0.0007 0.0003 0.8606  1 Si 2.13
S 0.0007 0.4997 0.3606  1 Si 2.13
S 0.3815 0.2275 0.0304  1 Si 2.13
S 0.3815 0.2725 0.5304  1 Si 2.13
S 0.4226 0.2172 0.3211  1 Si 2.13
S 0.4226 0.2828 0.8211  1 Si 2.13
S 0.5774 0.7172 0.1789  1 Si 2.13
S 0.5774 0.7828 0.6789  1 Si 2.13
S 0.6185 0.7275 0.4696  1 Si 2.13
S 0.6185 0.7725 0.9696  1 Si 2.13
S 0.9993 0.9997 0.1394  1 Si 2.13
S 0.9993 0.5003 0.6394  1 Si 2.13

Calculated values
For the density, the calculation gives 5.67 g/cm³. For the raw formation energy, the calculation gives -0.681 eV/atom. As for the space group: No. 14.

Computed, not measured: Ba3Ta at its PBEsol-relaxed geometry at the SCAN level of DFT.

Unit cell a=12.8537 b=12.8537 c=12.8537 alpha=16.34 beta=16.34 gamma=16.34
Closest atoms and distances in Å follow each position.
Fractional positions:
Ba 0.0000 0.0000 0.0000  6 Ba 3.65
Ba 0.2355 0.2355 0.2355  3 Ta 3.36, 6 Ba 3.65
Ba 0.7645 0.7645 0.7645  3 Ta 3.36, 6 Ba 3.65
Ta 0.5000 0.5000 0.5000  6 Ba 3.36, 6 Ta 3.65

Calculated values
The formation enthalpy at 0 K comes out at 1.04 eV per atom. For the density, the calculation gives 6.72 g/cm³. As for the space group: No. 166.

Computed, not measured: SiIN2F at its PBEsol-relaxed geometry at the SCAN level of DFT.

Unit cell a=3.8130 b=3.8130 c=3.6870 alpha=90.00 beta=90.00 gamma=90.00
Closest atoms and distances in Å follow each position.
Fractional positions:
Si 0.0000 0.0000 0.0000  2 F 1.84, 4 N 1.91
I 0.5000 0.5000 0.5000  8 N 2.65, 4 F 2.70
N 0.0000 0.5000 0.0000  2 Si 1.91
N 0.5000 0.0000 0.0000  2 Si 1.91
F 0.0000 0.0000 0.5000  2 Si 1.84

Calculated values
For the density, the calculation gives 6.26 g/cm³. For the raw formation energy, the calculation gives 0.188 eV/atom. As for the space group: No. 123.

Computed, not measured: TiCoRu3 at its PBEsol-relaxed geometry at the SCAN level of DFT.

Unit cell a=4.3089 b=4.3089 c=4.3089 alpha=90.00 beta=90.00 gamma=90.00
Closest atoms and distances in Å follow each position.
Fractional positions:
Ti 0.0000 0.0000 0.0000  12 Ru 3.05
Co 0.5000 0.5000 0.5000  6 Ru 2.15
Ru 0.0000 0.5000 0.5000  2 Co 2.15
Ru 0.5000 0.0000 0.5000  2 Co 2.15
Ru 0.5000 0.5000 0.0000  2 Co 2.15

Calculated values
The formation enthalpy at 0 K comes out at 1.05 eV per atom. For the density, the calculation gives 8.51 g/cm³. As for the space group: No. 221.

Q: Among the records above, which one has the highest density?
A: TiCoRu3